[1]
A plane-wave DFT calculation with meta-GGA SCAN was carried out for CaBiTeN2 at its PBEsol-relaxed geometry.

Lattice parameters (Å, degrees): 4.545 4.545 5.949 90.00 90.00 90.00
Last column: magnetic moment on the atom in μB.
Sites, in units of the cell vectors:
Te  0.000  0.000  0.500  0.07
Bi  0.500  0.500  0.500  -0.36
N  0.500  0.000  0.000  1.30
N  0.000  0.500  0.000  1.30
Ca  0.000  0.000  0.000  0.00

Magnetic moment: 0.671 μB/atom
Raw formation energy: 1.02 eV/atom



[2]
A plane-wave DFT calculation with meta-GGA SCAN was carried out for InTePO2 at its PBEsol-relaxed geometry.

Lattice parameters (Å, degrees): 4.016 4.016 5.270 90.00 90.00 90.00
Sites, in units of the cell vectors:
P  0.000  0.000  0.500
O  0.500  0.000  0.000
O  0.000  0.500  0.000
In  0.500  0.500  0.500
Te  0.000  0.000  0.000

Magnetic moment: 0.000 μB/atom
Raw formation energy: -0.38 eV/atom



[3]
A plane-wave DFT calculation with meta-GGA SCAN was carried out for ScMoAu at its PBEsol-relaxed geometry.

Lattice parameters (Å, degrees): 4.427 4.427 4.427 60.00 60.00 60.00
Last column: magnetic moment on the atom in μB.
Sites, in units of the cell vectors:
Sc  0.500  0.500  0.500  0.11
Au  0.750  0.750  0.750  0.16
Mo  0.000  0.000  0.000  1.66

Magnetic moment: 0.731 μB/atom
E_form: 255 meV per atom
Offset from the most stable computed form: 125 meV/atom



Q: Which of these has the lowest magnetic moment?
A: InTePO2



Q: Look up the magnetic moment of the third one.
A: 0.731 μB/atom